5
Lattice="4.399 0.000 0.000 0.000 4.399 0.000 0.000 0.000 4.414" Properties=species:S:1:pos:R:3 comment="KTbO3 | the Open Quantum Materials Database | PBE | relaxed" magmom_total_mub_per_cell=2.00 final_energy_ev_per_fu=-29.830 spacegroup="P4mm (99)" pbc="T T T"
K 0.000 0.000 0.000
Tb 2.200 2.200 2.258
O 0.000 2.200 2.298
O 2.200 0.000 2.298
O 2.200 2.200 0.056